Record 1
This record from the Alexandria database describes a relaxed structure of RbGaPdF2. The functional is GGA-PBE.

space group	P4/mmm (123)

Structure (POSCAR):
```
RbGaPdF2
1.0
4.895 0.000 0.000
0.000 5.886 0.000
0.000 0.000 4.895
F Rb Ga Pd
2 1 1 1
Direct
0.500 0.000 0.000 F
0.000 0.000 0.500 F
0.000 0.000 0.000 Rb
0.000 0.500 0.000 Ga
0.500 0.500 0.500 Pd
```

---

Record 2
This record from the Alexandria database describes a relaxed structure of GaSnPdF2. The functional is GGA-PBE.

space group	P4/mmm (123)

Structure (POSCAR):
```
GaSnPdF2
1.0
-1.141 -0.362 4.144
-0.977 -5.269 -0.729
4.086 -0.903 1.046
Ga Pd F Sn
1 1 2 1
Direct
0.500 0.500 0.500 Ga
0.000 0.500 0.000 Pd
0.000 0.000 0.500 F
0.500 0.000 0.000 F
0.000 0.000 0.000 Sn
```

---

Record 3
This record from the Alexandria database describes a relaxed structure of PmGa2F8. The functional is GGA-PBE.

ΔE to the lowest computed polymorph	0.74	eV per formula unit
space group	P-3m1 (164)

Structure (POSCAR):
```
PmGa2F8
1.0
4.050 0.000 0.000
-0.001 5.928 -3.422
0.000 -0.001 6.845
F Pm Ga
8 1 2
Direct
0.237 0.667 0.333 F
0.265 0.171 0.830 F
0.735 0.830 0.659 F
0.763 0.333 0.667 F
0.735 0.829 0.170 F
0.265 0.170 0.341 F
0.735 0.341 0.171 F
0.265 0.659 0.829 F
0.000 0.000 0.000 Pm
0.267 0.333 0.667 Ga
0.733 0.667 0.333 Ga
```

---

Record 4
This record from the Alexandria database describes a relaxed structure of PmGa2F8. The functional is GGA-PBE.

ΔE to the lowest computed polymorph	0.00	eV per formula unit
space group	C2/m (12)

Structure (POSCAR):
```
PmGa2F8
1.0
5.256 -0.550 -0.471
-0.088 5.750 0.054
-0.088 0.944 5.672
F Ga Pm
8 2 1
Direct
0.257 0.319 0.841 F
0.743 0.159 0.681 F
0.189 0.785 0.785 F
0.630 0.632 0.632 F
0.370 0.368 0.368 F
0.811 0.215 0.215 F
0.257 0.841 0.319 F
0.743 0.681 0.159 F
0.263 0.579 0.579 Ga
0.737 0.421 0.421 Ga
0.000 0.000 0.000 Pm
```

---

Record 5
This record from the Alexandria database describes a relaxed structure of PrGaF6. The functional is GGA-PBE.

space group	C2/m (12)

Structure (POSCAR):
```
PrGaF6
1.0
4.624 0.555 0.047
-1.205 4.498 0.047
-0.572 -0.846 4.545
F Ga Pr
6 1 1
Direct
0.565 0.203 0.204 F
0.797 0.435 0.796 F
0.204 0.204 0.571 F
0.435 0.797 0.796 F
0.203 0.565 0.204 F
0.796 0.796 0.429 F
0.500 0.500 0.500 Ga
0.000 0.000 0.000 Pr
```

---

Record 6
This record from the Alexandria database describes a relaxed structure of Pr4Ga2F. The functional is GGA-PBE.

space group	I4/mmm (139)

Structure (POSCAR):
```
Pr4Ga2F
1.0
4.820 0.000 0.000
0.000 4.820 0.000
2.410 2.410 8.283
Pr F Ga
4 1 2
Direct
0.185 0.185 0.631 Pr
0.000 0.500 0.000 Pr
0.500 0.000 0.000 Pr
0.815 0.815 0.369 Pr
0.000 0.000 0.000 F
0.632 0.632 0.736 Ga
0.368 0.368 0.264 Ga
```

---

Record 7
This record from the Alexandria database describes a relaxed structure of Pr12Ga5F3. The functional is GGA-PBE.

space group	Ia-3d (230)

Structure (POSCAR):
```
Pr12Ga5F3
1.0
-0.758 -12.196 -8.443
14.002 2.032 4.517
-8.834 -1.612 11.830
Pr Ga F
48 20 12
Direct
0.231 0.564 0.612 Pr
0.049 0.882 0.112 Pr
0.049 0.167 0.436 Pr
0.769 0.333 0.882 Pr
0.549 0.936 0.667 Pr
0.436 0.769 0.888 Pr
0.667 0.436 0.549 Pr
0.549 0.612 0.382 Pr
0.269 0.382 0.833 Pr
0.118 0.167 0.231 Pr
0.564 0.333 0.951 Pr
0.112 0.382 0.049 Pr
0.888 0.269 0.436 Pr
0.231 0.667 0.118 Pr
0.167 0.049 0.936 Pr
0.936 0.549 0.167 Pr
0.382 0.112 0.549 Pr
0.564 0.231 0.112 Pr
0.731 0.112 0.064 Pr
0.951 0.833 0.564 Pr
0.388 0.936 0.769 Pr
0.833 0.882 0.269 Pr
0.936 0.388 0.269 Pr
0.612 0.549 0.882 Pr
0.333 0.564 0.451 Pr
0.951 0.118 0.888 Pr
0.382 0.269 0.333 Pr
0.269 0.888 0.936 Pr
0.888 0.618 0.951 Pr
0.167 0.118 0.731 Pr
0.882 0.833 0.769 Pr
0.833 0.951 0.064 Pr
0.333 0.769 0.382 Pr
0.882 0.049 0.612 Pr
0.618 0.888 0.451 Pr
0.451 0.388 0.618 Pr
0.436 0.667 0.049 Pr
0.618 0.731 0.667 Pr
0.064 0.451 0.833 Pr
0.112 0.731 0.564 Pr
0.388 0.451 0.118 Pr
0.064 0.612 0.731 Pr
0.118 0.951 0.388 Pr
0.667 0.231 0.618 Pr
0.769 0.436 0.388 Pr
0.612 0.064 0.231 Pr
0.731 0.618 0.167 Pr
0.451 0.064 0.333 Pr
0.000 0.000 0.000 Ga
0.375 0.250 0.125 Ga
0.625 0.750 0.875 Ga
0.500 0.000 0.000 Ga
0.500 0.000 0.500 Ga
0.250 0.375 0.625 Ga
0.625 0.875 0.250 Ga
0.750 0.125 0.875 Ga
0.125 0.750 0.375 Ga
0.250 0.875 0.125 Ga
0.500 0.500 0.500 Ga
0.000 0.000 0.500 Ga
0.000 0.500 0.000 Ga
0.750 0.625 0.375 Ga
0.000 0.500 0.500 Ga
0.375 0.125 0.750 Ga
0.500 0.500 0.000 Ga
0.125 0.375 0.250 Ga
0.875 0.250 0.625 Ga
0.875 0.625 0.750 Ga
0.625 0.375 0.750 F
0.875 0.750 0.125 F
0.750 0.375 0.125 F
0.625 0.250 0.375 F
0.750 0.875 0.625 F
0.125 0.250 0.875 F
0.250 0.125 0.375 F
0.125 0.875 0.750 F
0.875 0.125 0.250 F
0.375 0.750 0.625 F
0.375 0.625 0.250 F
0.250 0.625 0.875 F
```

---

Record 8
This record from the Alexandria database describes a relaxed structure of Ga3PtF. The functional is GGA-PBE.

ΔE to the lowest computed polymorph	2.44	eV per formula unit
space group	Pm-3m (221)

Structure (POSCAR):
```
Ga3PtF
1.0
-4.027 -1.952 0.161
1.661 -3.210 2.645
-1.037 2.438 3.610
Ga F Pt
3 1 1
Direct
0.000 0.500 0.000 Ga
0.500 0.000 0.000 Ga
0.000 0.000 0.500 Ga
0.000 0.000 0.000 F
0.500 0.500 0.500 Pt
```

---

Record 9
This record from the Alexandria database describes a relaxed structure of Ga3PtF. The functional is GGA-PBE.

ΔE to the lowest computed polymorph	0.00	eV per formula unit
space group	Pm-3m (221)

Structure (POSCAR):
```
Ga3PtF
1.0
4.801 0.000 0.000
0.000 4.801 0.000
0.000 0.000 4.801
Ga F Pt
3 1 1
Direct
0.000 0.500 0.000 Ga
0.500 0.000 0.000 Ga
0.000 0.000 0.500 Ga
0.500 0.500 0.500 F
0.000 0.000 0.000 Pt
```

---

Record 10
This record from the Alexandria database describes a relaxed structure of GaPtF. The functional is GGA-PBE.

space group	C2/m (12)

Structure (POSCAR):
```
GaPtF
1.0
-2.725 0.313 -2.887
1.547 -3.147 -1.887
-3.272 -2.438 5.633
Ga Pt F
2 2 2
Direct
0.877 0.375 0.751 Ga
0.123 0.625 0.249 Ga
0.250 0.250 0.500 Pt
0.750 0.750 0.500 Pt
0.783 0.716 0.999 F
0.217 0.284 0.001 F
```

---

Record 11
This record from the Alexandria database describes a relaxed structure of Rb2GaPtF. The functional is GGA-PBE.

space group	P4/mmm (123)

Structure (POSCAR):
```
Rb2GaPtF
1.0
5.477 0.000 0.000
0.000 4.747 0.000
0.000 0.000 5.477
F Ga Rb Pt
1 1 2 1
Direct
0.000 0.000 0.000 F
0.500 0.500 0.500 Ga
0.500 0.000 0.000 Rb
0.000 0.000 0.500 Rb
0.000 0.500 0.000 Pt
```

---

Record 12
This record from the Alexandria database describes a relaxed structure of GaRu2PtF. The functional is GGA-PBE.

space group	P4/mmm (123)

Structure (POSCAR):
```
GaRu2PtF
1.0
-2.967 -1.427 -3.417
2.790 0.250 -2.527
1.183 -4.514 0.859
Ru Pt Ga F
2 1 1 1
Direct
0.000 0.000 0.500 Ru
0.500 0.000 0.000 Ru
0.500 0.500 0.500 Pt
0.000 0.000 0.000 Ga
0.000 0.500 0.000 F
```

---

Energy relative to the elements, uncorrected (computed, eV per formula unit): -2.06, -5.63, -31.34, -32.07, -26.16, -6.48, -7.01, -1.52, -3.96, -3.87, -1.71, 3.46